Pr2DyVO6, optimized geometry, DFT PBE+U; space group = P2_1/c (14); D(E_F) = 0.00 states/eV/f.u.; VASP energy = -164.006 eV per cell
1.0
-1.268 5.523 0.428
-5.604 -1.386 1.291
1.874 -0.074 8.053
Pr Dy V O
4 2 2 12
Direct
0.018 0.943 0.250 Pr
0.518 0.557 0.750 Pr
0.982 0.057 0.750 Pr
0.482 0.443 0.250 Pr
0.500 0.000 0.500 Dy
0.000 0.500 0.000 Dy
0.500 0.000 0.000 V
0.000 0.500 0.500 V
0.315 0.710 0.063 O
0.815 0.790 0.563 O
0.685 0.290 0.937 O
0.185 0.210 0.437 O
0.290 0.690 0.440 O
0.790 0.810 0.940 O
0.710 0.310 0.560 O
0.210 0.190 0.060 O
0.883 0.546 0.260 O
0.383 0.954 0.760 O
0.117 0.454 0.740 O
0.617 0.046 0.240 O